RbZnHg2Ir: relaxed, PBE.

a b c (Å): 5.3718 5.3718 4.9283
angles (deg): 90.00 90.00 90.00
Fractional positions:
Zn (0.0000, 0.0000, 0.5000)
Ir (0.0000, 0.0000, 0.0000)
Hg (0.0000, 0.5000, 0.0000)
Hg (0.5000, 0.0000, 0.0000)
Rb (0.5000, 0.5000, 0.5000)

Energy relative to the elements = -63 meV/atom
Electronic total energy = -2.40 eV/atom
V = 28.443 Å³/atom
E above lowest polymorph = 0.000 eV/atom